## RbLiAgHg2 (PBE-GGA)

Data for a relaxed RbLiAgHg2 crystal.

Values from the calculation:
For the formation enthalpy at 0 K, the calculation gives -34 kJ/mol of formula units. The density of states at the Fermi level is 2.231 states/eV/cell. The value obtained for the total magnetization is 0.00 μB per formula unit. The distance to the lowest polymorph of the same formula comes out at 0.0090 eV/atom. Its space group is P4/mmm.

Unit cell a=5.514 b=5.514 c=5.207 alpha=90.00 beta=90.00 gamma=90.00
Element x y z (fractional)
1 Hg 0.000 0.500 0.000
2 Ag 0.000 0.000 0.000
3 Li 0.000 0.000 0.500
4 Hg 0.500 0.000 0.000
5 Rb 0.500 0.500 0.500